LaBr2Cl | PBE-GGA | optimized geometry

Results
For the formation energy from raw total energies, the calculation gives -1730 meV per atom. Its density of states at the Fermi level is 0.00 states/eV/f.u. The calculation puts the relative energy among the computed polymorphs at 0.4010 eV per atom.

a = 5.566 Å, b = 5.566 Å, c = 5.566 Å
α = 128.68°, β = 128.68°, γ = 75.53°
Fractional positions:
Br: 0.250 0.750 0.500
Br: 0.000 0.000 0.000
Cl: 0.500 0.500 0.000
La: 0.750 0.250 0.500

=====

La2BrCl4 | PBE-GGA | optimized geometry

Results
For the formation energy from raw total energies, the calculation gives -2097 meV per atom. Its density of states at the Fermi level is 7.90 states/eV/f.u.

a = 4.960 Å, b = 4.960 Å, c = 10.579 Å
α = 76.44°, β = 76.44°, γ = 60.00°
Fractional positions:
La: 0.597 0.597 0.210
La: 0.403 0.403 0.790
Cl: 0.697 0.697 0.910
Cl: 0.089 0.089 0.733
Cl: 0.911 0.911 0.267
Cl: 0.303 0.303 0.090
Br: 0.500 0.500 0.500